1.
## BaC2N2O2 (meta-GGA SCAN)

Data for BaC2N2O2 at its PBEsol-relaxed geometry.

Cell lengths 14.103, 14.103, 14.103 Å; angles 29.14, 29.14, 29.14 degrees
Sites, in units of the cell vectors:
Ba: 0.150 0.150 0.150
Ba: 0.250 0.250 0.250
Ba: 0.350 0.350 0.350
Ba: 0.650 0.650 0.650
Ba: 0.750 0.750 0.750
Ba: 0.850 0.850 0.850
C: 0.001 0.759 0.127
C: 0.127 0.001 0.759
C: 0.241 0.873 0.999
C: 0.259 0.501 0.627
C: 0.373 0.741 0.499
C: 0.499 0.373 0.741
C: 0.501 0.627 0.259
C: 0.627 0.259 0.501
C: 0.741 0.499 0.373
C: 0.759 0.127 0.001
C: 0.873 0.999 0.241
C: 0.999 0.241 0.873
N: 0.078 0.827 0.210
N: 0.173 0.790 0.922
N: 0.210 0.078 0.827
N: 0.290 0.673 0.422
N: 0.327 0.578 0.710
N: 0.422 0.290 0.673
N: 0.578 0.710 0.327
N: 0.673 0.422 0.290
N: 0.710 0.327 0.578
N: 0.790 0.922 0.173
N: 0.827 0.210 0.078
N: 0.922 0.173 0.790
O: 0.037 0.563 0.292
O: 0.063 0.537 0.792
O: 0.208 0.937 0.463
O: 0.292 0.037 0.563
O: 0.437 0.708 0.963
O: 0.463 0.208 0.937
O: 0.537 0.792 0.063
O: 0.563 0.292 0.037
O: 0.708 0.963 0.437
O: 0.792 0.063 0.537
O: 0.937 0.463 0.208
O: 0.963 0.437 0.708

Results
- crystal system = trigonal
- magnetic moment (μB/atom) = 0.000
- calculated total energy (eV/atom) = -14.356
- space group = R-3c (167)
- ΔE_f (raw) (eV per atom) = -1.385

***

2.
## Ca2TeRu (meta-GGA SCAN)

Data for Ca2TeRu at its PBEsol-relaxed geometry.

Cell lengths 3.442, 3.442, 8.598 Å; angles 90.00, 90.00, 90.00 degrees
Sites, in units of the cell vectors:
Ca: 0.000 0.000 0.000
Ca: 0.500 0.500 0.365
Te: 0.500 0.500 0.739
Ru: 0.000 0.000 0.607

Results
- crystal system = tetragonal
- magnetic moment (μB/atom) = 0.000
- calculated total energy (eV/atom) = -23.012
- space group = P4mm (99)
- ΔE_f (raw) (eV per atom) = -0.161

***

3.
## RbNb2SiBr (meta-GGA SCAN)

Data for RbNb2SiBr at its PBEsol-relaxed geometry.

Cell lengths 4.813, 4.813, 5.549 Å; angles 90.00, 90.00, 90.00 degrees
Sites, in units of the cell vectors:
Rb: 0.000 0.000 0.000
Nb: 0.000 0.500 0.500
Nb: 0.500 0.000 0.500
Si: 0.500 0.500 0.000
Br: 0.500 0.500 0.500

Results
- energy above the most stable polymorph in this dataset (meV/atom) = 765
- crystal system = tetragonal
- magnetic moment (μB/atom) = 0.000
- calculated total energy (eV/atom) = -21.767
- space group = P4/mmm (123)
- ΔE_f (raw) (eV per atom) = 1.527

***

4.
## BeNiOs2 (meta-GGA SCAN)

Data for BeNiOs2 at its PBEsol-relaxed geometry.

Cell lengths 5.123, 8.164, 2.588 Å; angles 90.00, 114.68, 90.00 degrees
Sites, in units of the cell vectors:
Be: 0.000 0.000 0.000
Be: 0.500 0.500 0.000
Ni: 0.000 0.500 0.000
Ni: 0.500 0.000 0.000
Os: 0.250 0.250 0.500
Os: 0.250 0.750 0.500
Os: 0.750 0.250 0.500
Os: 0.750 0.750 0.500

Results
- crystal system = monoclinic
- magnetic moment (μB/atom) = 0.000
- calculated total energy (eV/atom) = -40.834
- space group = C2/m (12)
- energy of formation (eV per formula unit) = 1.0

***

5.
## TaPSCl2 (meta-GGA SCAN)

Data for TaPSCl2 at its PBEsol-relaxed geometry.

Cell lengths 4.494, 4.494, 4.693 Å; angles 90.00, 90.00, 90.00 degrees
Sites, in units of the cell vectors:
Ta: 0.000 0.000 0.000
P: 0.500 0.500 0.000
S: 0.500 0.500 0.500
Cl: 0.000 0.500 0.500
Cl: 0.500 0.000 0.500

Results
- crystal system = tetragonal
- magnetic moment (μB/atom) = 0.511
- calculated total energy (eV/atom) = -19.323
- space group = P4/mmm (123)
- ΔE_f (raw) (eV per atom) = 1.190

***

6.
## Cu2MoW (meta-GGA SCAN)

Data for Cu2MoW at its PBEsol-relaxed geometry.

Cell lengths 2.586, 4.024, 5.164 Å; angles 90.00, 90.00, 90.00 degrees
Sites, in units of the cell vectors:
Cu: 0.000 0.000 0.249
Cu: 0.000 0.000 0.751
Mo: 0.500 0.500 0.500
W: 0.500 0.500 0.000

Results
- crystal system = orthorhombic
- magnetic moment (μB/atom) = 0.000
- calculated total energy (eV/atom) = -33.432
- space group = Pmmm (47)
- energy of formation (eV per formula unit) = 1.2

***

- What is the formula in the fourth record?
  BeNiOs2

***

- Number 3 is which compound?
  RbNb2SiBr